Entry 1:
# CrAgPd2

A geometry-optimized CrAgPd2 structure (PBE, Alexandria via LeMat-Bulk).

Cell and atoms, written as extended XYZ:
```
4
Lattice="-1.958 1.817 0.739 -1.529 -0.760 -2.184 -3.462 -5.493 4.337" Properties=species:S:1:pos:R:3 pbc="T T T"
Cr -3.475 -2.218 1.446
Pd -2.504 -3.973 3.137
Pd -0.958 -1.520 1.200
Ag -1.744 0.529 -0.722
```

VASP energy = -0.2084 Ha/atom
Total moment = 0.6 Bohr magnetons per cell
Space-group type = P4/mmm, No. 123
Energy above the most stable polymorph in this dataset = 0.0303 eV per atom
Energy relative to the elements = 0.045 eV/atom

---

Entry 2:
# Be2GaMoP

A geometry-optimized Be2GaMoP structure (PBE, Alexandria via LeMat-Bulk).

Cell and atoms, written as extended XYZ:
```
5
Lattice="3.988 0.000 0.000 0.000 4.929 0.000 0.000 0.000 3.988" Properties=species:S:1:pos:R:3 pbc="T T T"
P 1.994 2.464 1.994
Mo 0.000 2.464 0.000
Ga 0.000 0.000 0.000
Be 0.000 0.000 1.994
Be 1.994 0.000 0.000
```

VASP energy = -0.1564 Ha/atom
Total moment = 0.0 Bohr magnetons per cell
Space-group type = P4/mmm, No. 123
Energy relative to the elements = 1.089 eV/atom

---

Entry 3:
# K2BaPt2

A geometry-optimized K2BaPt2 structure (PBE, Alexandria via LeMat-Bulk).

Cell and atoms, written as extended XYZ:
```
10
Lattice="8.505 0.000 0.000 0.000 8.505 0.000 0.000 0.000 4.568" Properties=species:S:1:pos:R:3 pbc="T T T"
K 1.111 5.363 2.284
K 5.363 7.395 2.284
K 7.395 3.142 2.284
K 3.142 1.111 2.284
Ba 0.000 0.000 0.000
Ba 4.253 4.253 0.000
Pt 2.788 7.041 0.000
Pt 7.041 5.717 0.000
Pt 5.717 1.465 0.000
Pt 1.465 2.788 0.000
```

VASP energy = -0.1215 Ha/atom
Total moment = 0.0 Bohr magnetons per cell
Space-group type = P4/mbm, No. 127
Energy above the most stable polymorph in this dataset = 0.1001 eV per atom
Energy relative to the elements = -0.066 eV/atom

---

Entry 4:
# OsOF3

A geometry-optimized OsOF3 structure (PBE, Alexandria via LeMat-Bulk).

Cell and atoms, written as extended XYZ:
```
5
Lattice="3.968 0.000 0.000 0.000 3.968 0.000 0.000 0.000 3.968" Properties=species:S:1:pos:R:3 pbc="T T T"
Os 0.000 0.000 0.000
O 1.984 1.984 1.984
F 0.000 1.984 0.000
F 0.000 0.000 1.984
F 1.984 0.000 0.000
```

Formation energy from raw total energies = -0.110 eV/atom
VASP energy = -0.1643 Ha/atom
Total moment = 0.0 Bohr magnetons per cell
Space-group type = Pm-3m, No. 221
Energy above the most stable polymorph in this dataset = 1.1614 eV per atom

---

Entry 5:
# LiSm2TmS5

A geometry-optimized LiSm2TmS5 structure (PBE, Alexandria via LeMat-Bulk).

Cell and atoms, written as extended XYZ:
```
18
Lattice="3.933 0.000 0.000 -1.967 8.164 0.000 0.000 0.000 11.811" Properties=species:S:1:pos:R:3 pbc="T T T"
Li 1.967 0.237 11.587
Li 0.000 7.927 5.681
Sm 1.967 6.122 9.406
Sm 0.000 1.753 8.093
Sm 0.000 2.042 3.500
Sm 1.967 6.411 2.187
Tm 1.967 4.936 5.936
Tm 0.000 3.228 0.031
S 0.000 5.916 11.797
S 1.967 3.144 9.988
S 1.967 0.000 9.253
S 0.000 4.665 7.798
S 1.967 7.384 6.743
S 1.967 2.248 5.891
S 0.000 5.020 4.082
S 0.000 8.164 3.347
S 1.967 3.498 1.892
S 0.000 0.780 0.837
```

Formation energy from raw total energies = -1.914 eV/atom
VASP energy = -0.2192 Ha/atom
Total moment = 0.0 Bohr magnetons per cell
Space-group type = Cmc2_1, No. 36

---

Entry 6:
# SmRhO3

A geometry-optimized SmRhO3 structure (PBE, Alexandria via LeMat-Bulk).

Cell and atoms, written as extended XYZ:
```
20
Lattice="-2.663 0.878 -4.580 2.270 -5.497 -2.373 -6.143 -2.714 3.052" Properties=species:S:1:pos:R:3 pbc="T T T"
Sm -1.501 -3.367 -4.352
Sm -5.035 -3.967 0.450
Sm -1.843 -2.649 -0.868
Sm -4.693 -4.684 -3.034
Rh -2.177 -6.341 -1.587
Rh -4.359 -0.993 -2.314
Rh -7.484 -2.332 -0.882
Rh 0.949 -5.002 -3.020
O -0.073 -5.864 -1.429
O -6.463 -1.470 -2.473
O -2.354 -0.455 -2.214
O -4.182 -6.879 -1.687
O -2.488 -5.136 -3.210
O -4.048 -2.197 -0.691
O -0.089 -1.133 -0.690
O -6.447 -6.201 -3.212
O -2.969 -4.749 -0.393
O -3.567 -2.585 -3.508
O -6.330 -4.044 -1.452
O -0.206 -3.290 -2.449
```

Formation energy from raw total energies = -2.007 eV/atom
VASP energy = -0.2718 Ha/atom
Total moment = 0.0 Bohr magnetons per cell
Space-group type = P2_1/c, No. 14

---

Entry 7:
# TbPrNdTl

A geometry-optimized TbPrNdTl structure (PBE, Alexandria via LeMat-Bulk).

Cell and atoms, written as extended XYZ:
```
4
Lattice="5.042 0.000 0.000 0.000 4.925 0.000 0.000 0.000 4.941" Properties=species:S:1:pos:R:3 pbc="T T T"
Tb 0.000 2.462 2.471
Pr 2.521 0.000 2.471
Nd 2.521 2.462 0.000
Tl 0.000 0.000 0.000
```

VASP energy = -0.1592 Ha/atom
Total moment = 0.0 Bohr magnetons per cell
Space-group type = Pmmm, No. 47
Energy above the most stable polymorph in this dataset = 0.0000 eV per atom
Energy relative to the elements = -0.197 eV/atom

---

Entry 8:
# Rb4Ce3PrS8

A geometry-optimized Rb4Ce3PrS8 structure (PBE, Alexandria via LeMat-Bulk).

Cell and atoms, written as extended XYZ:
```
16
Lattice="8.503 0.000 0.000 0.000 9.111 0.414 -4.252 -4.242 6.020" Properties=species:S:1:pos:R:3 pbc="T T T"
Rb 4.252 0.000 0.000
Rb 2.126 -2.121 3.010
Rb 0.000 0.000 0.000
Rb -2.126 -2.121 3.010
Ce 4.252 4.556 0.207
Ce 2.126 2.434 3.217
Ce -2.126 2.434 3.217
Pr 0.000 4.556 0.207
S -2.114 2.261 6.090
S 0.000 4.370 3.097
S 0.000 0.501 3.356
S 2.114 2.261 6.090
S 2.138 2.608 0.344
S 4.252 4.368 3.078
S 4.252 0.499 3.338
S 6.365 2.608 0.344
```

Formation energy from raw total energies = -1.777 eV/atom
VASP energy = -0.2019 Ha/atom
Total moment = 3.0 Bohr magnetons per cell
Space-group type = R-3m, No. 166